DFT (PBE) results for crystalline Cu2MoIr at its relaxed geometry.

## Properties
- symmetry = R-3m (166)
- energy (eV per cell) = -27.0
- excess energy over the best structure of this formula in the dataset (meV per atom) = 178.5
- DOS(E_F) (states/eV per cell) = 3.639

Lattice parameters (Å, degrees): 8.9993 8.9993 8.9993 17.17 17.17 17.17
Fractional coordinates of all 4 atoms:
Ir: 0.2500 0.2500 0.2500
Cu: 0.5006 0.5006 0.5006
Mo: 0.7500 0.7500 0.7500
Cu: 0.9994 0.9994 0.9994